[1]
# KReGe2O8, optimized geometry, DFT GGA-PBE
data_KReGe2O8
_space_group_name_H-M_alt 'C 1 2/m 1'
_space_group_IT_number 12
_cell_length_a 8.2792
_cell_length_b 5.8130
_cell_length_c 7.1221
_cell_angle_alpha 90.00
_cell_angle_beta 108.43
_cell_angle_gamma 90.00
loop_
_space_group_symop_operation_xyz
'x,y,z'
'-x,-y,-z'
'-x,y,-z'
'x,-y,z'
'x+1/2,y+1/2,z'
'-x+1/2,-y+1/2,-z'
'-x+1/2,y+1/2,-z'
'x+1/2,-y+1/2,z'
loop_
_atom_site_label
_atom_site_fract_x
_atom_site_fract_y
_atom_site_fract_z
_atom_site_occupancy
K1 0.0000 0.0000 0.0000 1
Re1 0.0000 0.0000 0.5000 1
Ge1 0.0525 0.5000 0.2082 1
O1 0.0035 0.2327 0.6895 1
O2 0.1516 0.5000 0.0136 1
O3 0.2359 0.0000 0.5852 1
# ΔE_f (raw), eV per atom: -1.489

---

[2]
# TcIrOs2, optimized geometry, DFT GGA-PBE
data_TcIrOs2
_space_group_name_H-M_alt 'F -4 3 m'
_space_group_IT_number 216
_space_group_name_Hall 'F -4 2 3'
_cell_length_a 6.1902
_cell_length_b 6.1902
_cell_length_c 6.1902
_cell_angle_alpha 90.00
_cell_angle_beta 90.00
_cell_angle_gamma 90.00
loop_
_atom_site_label
_atom_site_fract_x
_atom_site_fract_y
_atom_site_fract_z
_atom_site_occupancy
Tc1 0.0000 0.0000 0.0000 1
Ir1 0.2500 0.2500 0.7500 1
Os1 0.0000 0.0000 0.5000 1
Os2 0.2500 0.2500 0.2500 1
# Excess energy over the best structure of this formula in the dataset, meV per atom: 645.7

---

[3]
# TeRh2Pb, optimized geometry, DFT GGA-PBE
data_TeRh2Pb
_space_group_name_H-M_alt 'F -4 3 m'
_space_group_IT_number 216
_space_group_name_Hall 'F -4 2 3'
_cell_length_a 6.8396
_cell_length_b 6.8396
_cell_length_c 6.8396
_cell_angle_alpha 90.00
_cell_angle_beta 90.00
_cell_angle_gamma 90.00
loop_
_atom_site_label
_atom_site_fract_x
_atom_site_fract_y
_atom_site_fract_z
_atom_site_occupancy
Te1 0.0000 0.0000 0.0000 1
Rh1 0.0000 0.0000 0.5000 1
Rh2 0.2500 0.2500 0.2500 1
Pb1 0.2500 0.2500 0.7500 1
# Excess energy over the best structure of this formula in the dataset, meV per atom: 677.2
# ΔE_f (raw), eV per atom: 0.443

---

Number 1: mass density 5.092 g/cm3. Number 2: mass density 18.781 g/cm3. Number 3: mass density 11.223 g/cm3.